(1)
# ZrPaSb

A relaxed ZrPaSb crystal (PBE-GGA, Alexandria via LeMat-Bulk).

Values from the calculation:
Total magnetic moment ... 0.00 μB/cell
Mass density ... 10.3 g/cm3
Electronic total energy ... -7.723 eV/atom
Space-group type ... P4/nmm, No. 129
E_form (uncorrected) ... -0.33 eV/atom

Unit cell a=3.783 b=3.783 c=9.998 alpha=90.00 beta=90.00 gamma=90.00
Fractional positions:
Pa1 0.500 0.000 0.075
Sb1 0.500 0.000 0.402
Zr1 0.500 0.000 0.727
Sb2 0.000 0.500 0.598
Zr2 0.000 0.500 0.273
Pa2 0.000 0.500 0.925


(2)
# ScPa

A relaxed ScPa crystal (PBE-GGA, Alexandria via LeMat-Bulk).

Values from the calculation:
Total magnetic moment ... 0.00 μB/cell
Mass density ... 9.4 g/cm3
Electronic total energy ... -7.841 eV/atom
Space-group type ... Pmmn, No. 59
Formation energy ... 0.072 eV/atom

Unit cell a=3.256 b=4.522 c=6.616 alpha=90.00 beta=90.00 gamma=90.00
Fractional positions:
Sc1 0.750 0.250 0.881
Sc2 0.250 0.750 0.119
Pa1 0.750 0.250 0.382
Pa2 0.250 0.750 0.618


(3)
# Sc7Pa2

A relaxed Sc7Pa2 crystal (PBE-GGA, Alexandria via LeMat-Bulk).

Values from the calculation:
Total magnetic moment ... 0.00 μB/cell
Mass density ... 5.9 g/cm3
Electronic total energy ... -6.977 eV/atom
Space-group type ... P-31m, No. 162
Formation energy ... 0.057 eV/atom

Unit cell a=5.643 b=5.643 c=7.891 alpha=90.00 beta=90.00 gamma=120.00
Fractional positions:
Sc1 0.661 0.661 0.674
Sc2 0.000 0.661 0.326
Sc3 0.000 0.339 0.674
Pa1 0.667 0.333 0.000
Sc4 0.339 0.000 0.674
Sc5 0.339 0.339 0.326
Pa2 0.333 0.667 0.000
Sc6 0.000 0.000 0.000
Sc7 0.661 0.000 0.326


(4)
# Sc2Pa3

A relaxed Sc2Pa3 crystal (PBE-GGA, Alexandria via LeMat-Bulk).

Values from the calculation:
Total magnetic moment ... 0.00 μB/cell
Mass density ... 10.5 g/cm3
Electronic total energy ... -7.728 eV/atom
Space-group type ... R-3c, No. 167
Formation energy ... 0.502 eV/atom

Unit cell a=9.089 b=9.089 c=6.278 alpha=43.62 beta=43.62 gamma=60.00
Fractional positions:
Pa1 0.908 0.250 0.250
Pa2 0.750 0.408 0.750
Pa3 0.592 0.908 0.250
Sc1 0.373 0.373 0.882
Pa4 0.250 0.592 0.250
Sc2 0.627 0.627 0.118
Sc3 0.873 0.873 0.382
Pa5 0.408 0.092 0.750
Pa6 0.092 0.750 0.750
Sc4 0.127 0.127 0.618


(5)
# ScPa3

A relaxed ScPa3 crystal (PBE-GGA, Alexandria via LeMat-Bulk).

Values from the calculation:
Total magnetic moment ... 0.00 μB/cell
Mass density ... 12.6 g/cm3
Electronic total energy ... -8.628 eV/atom
Space-group type ... Imm2, No. 44
Formation energy ... 0.077 eV/atom

Unit cell a=3.126 b=5.757 c=6.309 alpha=117.15 beta=104.35 gamma=90.00
Fractional positions:
Pa1 0.260 0.552 0.520
Sc1 0.000 0.047 0.000
Pa2 0.740 0.032 0.480
Pa3 0.500 0.536 0.000


(6)
# ScPa2

A relaxed ScPa2 crystal (PBE-GGA, Alexandria via LeMat-Bulk).

Values from the calculation:
Total magnetic moment ... 0.00 μB/cell
Mass density ... 10.9 g/cm3
Electronic total energy ... -8.146 eV/atom
Space-group type ... Fd-3m, No. 227
Formation energy ... 0.295 eV/atom

Unit cell a=6.017 b=6.017 c=6.017 alpha=60.00 beta=60.00 gamma=60.00
Fractional positions:
Pa1 0.625 0.625 0.625
Sc1 0.250 0.250 0.250
Sc2 0.000 0.000 0.000
Pa2 0.625 0.125 0.625
Pa3 0.625 0.625 0.125
Pa4 0.125 0.625 0.625